La5RhAu2N: optimized geometry, PBE-GGA.

Cell and atoms, written as POSCAR:
```
La5RhAu2N
1.0
4.1451 0.0000 0.0000
-2.0725 9.0986 0.0000
0.0000 0.0000 13.4930
La Au N Rh
10 4 2 2
Cartesian
0.0000 0.7436 0.1635
0.0000 9.0322 10.4748
0.0000 6.4666 0.0916
2.0725 0.0663 3.7283
0.0000 5.7726 5.1765
2.0725 3.9435 2.3956
2.0725 2.6319 6.8381
2.0725 3.3260 11.9230
0.0000 5.1551 9.1422
2.0725 8.3550 6.9100
0.0000 1.9857 9.2098
0.0000 2.4113 4.4015
2.0725 6.6873 11.1481
2.0725 7.1129 2.4633
2.0725 0.9344 12.5092
0.0000 8.1641 5.7627
2.0725 5.3630 7.1744
0.0000 3.7356 0.4279
```

Output
**Crystal system**: orthorhombic
**Calculated density**: 7.9 Mg/m³
**Formation energy from raw total energies**: -0.85 eV/atom
**M_tot**: 0.00 μB per cell